## CsTlSeBr2 (GGA-PBE)

Data for crystalline CsTlSeBr2 at its relaxed geometry.

CIF file:
```
data_CsTlSeBr2
_symmetry_space_group_name_H-M 'P 4/m m m'
_symmetry_Int_Tables_number 123
_symmetry_space_group_name_Hall '-P 4 2'
_cell_length_a 5.9520
_cell_length_b 5.9520
_cell_length_c 5.4234
_cell_angle_alpha 90.00
_cell_angle_beta 90.00
_cell_angle_gamma 90.00
loop_
_atom_site_label
_atom_site_type_symbol
_atom_site_fract_x
_atom_site_fract_y
_atom_site_fract_z
_atom_site_occupancy
Cs1 Cs 0.0000 0.0000 0.0000 1
Tl1 Tl 0.5000 0.5000 0.5000 1
Se1 Se 0.5000 0.5000 0.0000 1
Br1 Br 0.0000 0.5000 0.5000 1
```

Output
Formation energy without anion corrections = -0.772 eV/atom
Calculated density = 4.98 g cm⁻³
Magnetization = 0.10 μB per atom
Energy = -2.782 eV per atom
Energy above the most stable polymorph in this dataset = 0.000 eV/atom

=====

## Cs2TlSeBr6 (GGA-PBE)

Data for crystalline Cs2TlSeBr6 at its relaxed geometry.

CIF file:
```
data_Cs2TlSeBr6
_symmetry_space_group_name_H-M 'I 4/m m m'
_symmetry_Int_Tables_number 139
_symmetry_space_group_name_Hall '-I 4 2'
_cell_length_a 8.0667
_cell_length_b 8.0667
_cell_length_c 12.2065
_cell_angle_alpha 90.00
_cell_angle_beta 90.00
_cell_angle_gamma 90.00
loop_
_atom_site_label
_atom_site_type_symbol
_atom_site_fract_x
_atom_site_fract_y
_atom_site_fract_z
_atom_site_occupancy
Cs1 Cs 0.0000 0.5000 0.2500 1
Tl1 Tl 0.0000 0.0000 0.0000 1
Se1 Se 0.0000 0.0000 0.5000 1
Br1 Br 0.0000 0.0000 0.2417 1
Br2 Br 0.2283 0.2283 0.5000 1
```

Output
Formation energy without anion corrections = -0.929 eV/atom
Calculated density = 4.30 g cm⁻³
Magnetization = 0.00 μB per atom
Energy = -2.688 eV per atom

=====

## Cs3U2Se5Br2 (GGA-PBE)

Data for crystalline Cs3U2Se5Br2 at its relaxed geometry.

CIF file:
```
data_Cs3U2Se5Br2
_symmetry_space_group_name_H-M 'I 4/m m m'
_symmetry_Int_Tables_number 139
_symmetry_space_group_name_Hall '-I 4 2'
_cell_length_a 5.5349
_cell_length_b 5.5349
_cell_length_c 29.5945
_cell_angle_alpha 90.00
_cell_angle_beta 90.00
_cell_angle_gamma 90.00
loop_
_atom_site_label
_atom_site_type_symbol
_atom_site_fract_x
_atom_site_fract_y
_atom_site_fract_z
_atom_site_occupancy
Cs1 Cs 0.0000 0.0000 0.0000 1
Cs2 Cs 0.0000 0.0000 0.1807 1
U1 U 0.0000 0.0000 0.4073 1
Se1 Se 0.0000 0.0000 0.5000 1
Se2 Se 0.0000 0.5000 0.0952 1
Br1 Br 0.0000 0.0000 0.3083 1
```

Output
Formation energy without anion corrections = -1.365 eV/atom
Calculated density = 5.24 g cm⁻³
Magnetization = 0.25 μB per atom
Energy = -5.191 eV per atom